# PBE UNi5P3, relaxed
# - Uncorrected energy: -6.9172 eV/atom
# - Spin magnetization: 2.3 μB per formula unit
data_UNi5P3
_symmetry_space_group_name_H-M 'C m c m'
_symmetry_Int_Tables_number 63
_symmetry_space_group_name_Hall '-C 2c 2'
_cell_length_a 3.561
_cell_length_b 11.723
_cell_length_c 11.238
_cell_angle_alpha 90.00
_cell_angle_beta 90.00
_cell_angle_gamma 90.00
loop_
_atom_site_label
_atom_site_type_symbol
_atom_site_fract_x
_atom_site_fract_y
_atom_site_fract_z
U1 U 0.000 0.150 0.250
Ni1 Ni 0.000 0.000 0.000
Ni2 Ni 0.000 0.200 0.566
Ni3 Ni 0.000 0.439 0.144
P1 P 0.000 0.125 0.750
P2 P 0.000 0.384 0.551